No. 1
Here is Na3Nd9B8O27 after structural relaxation from Alexandria. Energies are from GGA-PBEsol.

Lattice parameters (Å, degrees): 8.7441 8.7441 8.4136 90.00 90.00 120.00
Closest atoms and distances in Å follow each position.
Fractional positions:
Na: 0.0000 0.3352 0.0000  6 O 2.39-2.60
Na: 0.3352 0.0000 0.0000  6 O 2.39-2.60
Na: 0.6648 0.6648 0.0000  6 O 2.39-2.60
Nd: 0.0000 0.2809 0.5000  8 O 2.36-2.62
Nd: 0.0000 0.6509 0.2351  7 O 2.37-2.63
Nd: 0.0000 0.6509 0.7649  7 O 2.37-2.63
Nd: 0.2809 0.0000 0.5000  8 O 2.36-2.62
Nd: 0.3491 0.3491 0.2351  7 O 2.37-2.63
Nd: 0.3491 0.3491 0.7649  7 O 2.37-2.63
Nd: 0.6509 0.0000 0.2351  7 O 2.37-2.63
Nd: 0.6509 0.0000 0.7649  7 O 2.37-2.63
Nd: 0.7191 0.7191 0.5000  8 O 2.36-2.62
B: 0.0000 0.0000 0.2138  3 O 1.38
B: 0.0000 0.0000 0.7862  3 O 1.38
B: 0.3333 0.6667 0.0000  3 O 1.40
B: 0.3333 0.6667 0.3239  3 O 1.37
B: 0.3333 0.6667 0.6761  3 O 1.37
B: 0.6667 0.3333 0.0000  3 O 1.40
B: 0.6667 0.3333 0.3239  3 O 1.37
B: 0.6667 0.3333 0.6761  3 O 1.37
O: 0.0000 0.1582 0.2162  1 B 1.38
O: 0.0000 0.1582 0.7838  1 B 1.38
O: 0.0000 0.7425 0.5000  4 Nd 2.36-2.37
O: 0.1582 0.0000 0.2162  1 B 1.38
O: 0.1582 0.0000 0.7838  1 B 1.38
O: 0.1761 0.5106 0.3170  1 B 1.37
O: 0.1761 0.5106 0.6830  1 B 1.37
O: 0.1799 0.6783 0.0000  1 B 1.40
O: 0.2575 0.2575 0.5000  4 Nd 2.36-2.37
O: 0.3217 0.5016 0.0000  1 B 1.40
O: 0.3345 0.8239 0.3170  1 B 1.37
O: 0.3345 0.8239 0.6830  1 B 1.37
O: 0.4894 0.6655 0.3170  1 B 1.37
O: 0.4894 0.6655 0.6830  1 B 1.37
O: 0.4984 0.8201 0.0000  1 B 1.40
O: 0.5016 0.3217 0.0000  1 B 1.40
O: 0.5106 0.1761 0.3170  1 B 1.37
O: 0.5106 0.1761 0.6830  1 B 1.37
O: 0.6655 0.4894 0.3170  1 B 1.37
O: 0.6655 0.4894 0.6830  1 B 1.37
O: 0.6783 0.1799 0.0000  1 B 1.40
O: 0.7425 0.0000 0.5000  4 Nd 2.36-2.37
O: 0.8201 0.4984 0.0000  1 B 1.40
O: 0.8239 0.3345 0.3170  1 B 1.37
O: 0.8239 0.3345 0.6830  1 B 1.37
O: 0.8418 0.8418 0.2162  1 B 1.38
O: 0.8418 0.8418 0.7838  1 B 1.38

Values from the calculation:
Volume (Å³/atom): 11.85
Uncorrected formation energy (eV/atom): -2.970
DOS at the Fermi energy (states/eV/f.u.): 0.00

***

No. 2
Here is Na2Ni2B12O21 after structural relaxation from Alexandria. Energies are from GGA-PBEsol.

Lattice parameters (Å, degrees): 11.6575 11.6575 17.0526 123.25 123.25 21.90
Closest atoms and distances in Å follow each position.
Fractional positions:
Na: 0.0917 0.1930 0.4903  4 O 2.32-2.58
Na: 0.1930 0.0917 0.9903  4 O 2.32-2.58
Na: 0.8070 0.9083 0.0097  4 O 2.32-2.58
Na: 0.9083 0.8070 0.5097  4 O 2.32-2.58
Ni: 0.0422 0.0528 0.1060  5 O 1.97-2.19
Ni: 0.0528 0.0422 0.6060  5 O 1.97-2.19
Ni: 0.9472 0.9578 0.3940  5 O 1.97-2.19
Ni: 0.9578 0.9472 0.8940  5 O 1.97-2.19
B: 0.0634 0.7617 0.2014  3 O 1.36-1.39
B: 0.0806 0.5883 0.7047  3 O 1.37-1.38
B: 0.1230 0.3822 0.1808  3 O 1.36-1.40
B: 0.2383 0.9366 0.2986  3 O 1.36-1.39
B: 0.3161 0.3645 0.8441  4 O 1.44-1.52
B: 0.3645 0.3161 0.3441  4 O 1.44-1.52
B: 0.3822 0.1230 0.6808  3 O 1.36-1.40
B: 0.4117 0.9194 0.7953  3 O 1.37-1.38
B: 0.4457 0.4476 0.5069  3 O 1.35-1.40
B: 0.4476 0.4457 0.0069  3 O 1.35-1.40
B: 0.4495 0.5233 0.1727  4 O 1.42-1.55
B: 0.4767 0.5505 0.3273  4 O 1.42-1.55
B: 0.5233 0.4495 0.6727  4 O 1.42-1.55
B: 0.5505 0.4767 0.8273  4 O 1.42-1.55
B: 0.5524 0.5543 0.9931  3 O 1.35-1.40
B: 0.5543 0.5524 0.4931  3 O 1.35-1.40
B: 0.5883 0.0806 0.2047  3 O 1.37-1.38
B: 0.6178 0.8770 0.3192  3 O 1.36-1.40
B: 0.6355 0.6839 0.6559  4 O 1.44-1.52
B: 0.6839 0.6355 0.1559  4 O 1.44-1.52
B: 0.7617 0.0634 0.7014  3 O 1.36-1.39
B: 0.8770 0.6178 0.8192  3 O 1.36-1.40
B: 0.9194 0.4117 0.2953  3 O 1.37-1.38
B: 0.9366 0.2383 0.7986  3 O 1.36-1.39
O: 0.0931 0.5224 0.8808  2 B 1.37-1.48
O: 0.0941 0.1929 0.3359  2 B 1.37-1.39
O: 0.1014 0.4826 0.2750  2 B 1.36-1.44
O: 0.1372 0.5991 0.8012  2 B 1.38-1.52
O: 0.1757 0.7513 0.0039  1 B 1.35
O: 0.1924 0.7109 0.2947  1 B 1.38
O: 0.1929 0.0941 0.8359  2 B 1.37-1.39
O: 0.1952 0.6512 0.1369  2 B 1.36-1.48
O: 0.2010 0.3530 0.6428  2 B 1.38-1.40
O: 0.2442 0.5502 0.4239  2 B 1.40-1.48
O: 0.2487 0.8243 0.4961  1 B 1.35
O: 0.2891 0.8076 0.2053  1 B 1.38
O: 0.3246 0.6240 0.5933  2 B 1.40-1.47
O: 0.3488 0.8048 0.3631  2 B 1.36-1.48
O: 0.3530 0.2010 0.1428  2 B 1.38-1.40
O: 0.3547 0.6453 0.7500  2 B 1.42
O: 0.3760 0.6754 0.9067  2 B 1.40-1.47
O: 0.4009 0.8628 0.6988  2 B 1.38-1.52
O: 0.4498 0.7558 0.0761  2 B 1.40-1.48
O: 0.4776 0.9069 0.6192  2 B 1.37-1.48
O: 0.4826 0.1014 0.7750  2 B 1.36-1.44
O: 0.5174 0.8986 0.2250  2 B 1.36-1.44
O: 0.5224 0.0931 0.3808  2 B 1.37-1.48
O: 0.5502 0.2442 0.9239  2 B 1.40-1.48
O: 0.5991 0.1372 0.3012  2 B 1.38-1.52
O: 0.6240 0.3246 0.0933  2 B 1.40-1.47
O: 0.6453 0.3547 0.2500  2 B 1.42
O: 0.6470 0.7990 0.8572  2 B 1.38-1.40
O: 0.6512 0.1952 0.6369  2 B 1.36-1.48
O: 0.6754 0.3760 0.4067  2 B 1.40-1.47
O: 0.7109 0.1924 0.7947  1 B 1.38
O: 0.7513 0.1757 0.5039  1 B 1.35
O: 0.7558 0.4498 0.5761  2 B 1.40-1.48
O: 0.7990 0.6470 0.3572  2 B 1.38-1.40
O: 0.8048 0.3488 0.8631  2 B 1.36-1.48
O: 0.8071 0.9059 0.1641  2 B 1.37-1.39
O: 0.8076 0.2891 0.7053  1 B 1.38
O: 0.8243 0.2487 0.9961  1 B 1.35
O: 0.8628 0.4009 0.1988  2 B 1.38-1.52
O: 0.8986 0.5174 0.7250  2 B 1.36-1.44
O: 0.9059 0.8071 0.6641  2 B 1.37-1.39
O: 0.9069 0.4776 0.1192  2 B 1.37-1.48

Values from the calculation:
Volume (Å³/atom): 9.69
Uncorrected formation energy (eV/atom): -2.227

***

No. 3
Here is Na3NiB2O6 after structural relaxation from Alexandria. Energies are from GGA-PBEsol.

Lattice parameters (Å, degrees): 5.4457 9.3010 10.8609 90.00 115.35 90.00
Closest atoms and distances in Å follow each position.
Fractional positions:
Na: 0.0253 0.0577 0.3777  3 O 2.18-2.32
Na: 0.0253 0.4423 0.8777  3 O 2.18-2.32
Na: 0.0463 0.1363 0.8715  5 O 2.20-2.29
Na: 0.0463 0.3637 0.3715  5 O 2.20-2.29
Na: 0.4563 0.5358 0.6276  5 O 2.29-2.44
Na: 0.4563 0.9642 0.1276  5 O 2.29-2.44
Na: 0.5437 0.0358 0.8724  5 O 2.29-2.44
Na: 0.5437 0.4642 0.3724  5 O 2.29-2.44
Na: 0.9537 0.6363 0.6285  5 O 2.20-2.29
Na: 0.9537 0.8637 0.1285  5 O 2.20-2.29
Na: 0.9747 0.5577 0.1223  3 O 2.18-2.32
Na: 0.9747 0.9423 0.6223  3 O 2.18-2.32
Ni: 0.4793 0.7129 0.8790  4 O 1.89-1.91
Ni: 0.4793 0.7871 0.3790  4 O 1.89-1.91
Ni: 0.5207 0.2129 0.6210  4 O 1.89-1.91
Ni: 0.5207 0.2871 0.1210  4 O 1.89-1.91
B: 0.0369 0.7021 0.3843  3 O 1.37-1.39
B: 0.0369 0.7979 0.8843  3 O 1.37-1.39
B: 0.4588 0.6421 0.1340  3 O 1.37-1.42
B: 0.4588 0.8579 0.6340  3 O 1.37-1.42
B: 0.5412 0.1421 0.3660  3 O 1.37-1.42
B: 0.5412 0.3579 0.8660  3 O 1.37-1.42
B: 0.9631 0.2021 0.1157  3 O 1.37-1.39
B: 0.9631 0.2979 0.6157  3 O 1.37-1.39
O: 0.1281 0.6660 0.8603  1 B 1.39
O: 0.1281 0.8340 0.3603  1 B 1.39
O: 0.1978 0.5857 0.3931  1 B 1.37
O: 0.1978 0.9143 0.8931  1 B 1.37
O: 0.1992 0.1860 0.0983  1 B 1.39
O: 0.1992 0.3140 0.5983  1 B 1.39
O: 0.3410 0.7441 0.1897  1 B 1.42
O: 0.3410 0.7559 0.6897  1 B 1.42
O: 0.3888 0.2013 0.4291  1 B 1.40
O: 0.3888 0.2987 0.9291  1 B 1.40
O: 0.4053 0.0004 0.6425  1 B 1.37
O: 0.4053 0.4996 0.1425  1 B 1.37
O: 0.5947 0.9996 0.3575  1 B 1.37
O: 0.5947 0.5004 0.8575  1 B 1.37
O: 0.6112 0.7013 0.0709  1 B 1.40
O: 0.6112 0.7987 0.5709  1 B 1.40
O: 0.6590 0.2441 0.3103  1 B 1.42
O: 0.6590 0.2559 0.8103  1 B 1.42
O: 0.8008 0.6860 0.4017  1 B 1.39
O: 0.8008 0.8140 0.9017  1 B 1.39
O: 0.8022 0.0857 0.1069  1 B 1.37
O: 0.8022 0.4143 0.6069  1 B 1.37
O: 0.8719 0.1660 0.6397  1 B 1.39
O: 0.8719 0.3340 0.1397  1 B 1.39

Values from the calculation:
Volume (Å³/atom): 10.36
Uncorrected formation energy (eV/atom): -1.814

***

No. 4
Here is Na3NiBPO7 after structural relaxation from Alexandria. Energies are from GGA-PBEsol.

Lattice parameters (Å, degrees): 5.0566 6.6985 8.6987 90.00 92.28 90.00
Closest atoms and distances in Å follow each position.
Fractional positions:
Na: 0.2270 0.2500 0.0794  4 O 2.32-2.41
Na: 0.2551 0.5096 0.7324  6 O 2.30-2.54
Na: 0.2551 0.9904 0.7324  6 O 2.30-2.54
Na: 0.7449 0.0096 0.2676  6 O 2.30-2.54
Na: 0.7449 0.4904 0.2676  6 O 2.30-2.54
Na: 0.7730 0.7500 0.9206  4 O 2.32-2.41
Ni: 0.2177 0.7500 0.3382  4 O 1.88-1.93
Ni: 0.7823 0.2500 0.6618  4 O 1.88-1.93
B: 0.2751 0.7500 0.0730  3 O 1.33-1.40
B: 0.7249 0.2500 0.9270  3 O 1.33-1.40
P: 0.2778 0.2500 0.4206  4 O 1.54-1.57
P: 0.7222 0.7500 0.5794  4 O 1.54-1.57
O: 0.0342 0.7500 0.1460  1 B 1.40
O: 0.1205 0.2500 0.5684  1 P 1.54
O: 0.2152 0.0667 0.3170  1 P 1.55
O: 0.2152 0.4333 0.3170  1 P 1.55
O: 0.3046 0.7500 0.9213  1 B 1.33
O: 0.4196 0.7500 0.5317  1 P 1.57
O: 0.4750 0.7500 0.1883  1 B 1.40
O: 0.5250 0.2500 0.8117  1 B 1.40
O: 0.5804 0.2500 0.4683  1 P 1.57
O: 0.6954 0.2500 0.0787  1 B 1.33
O: 0.7848 0.5667 0.6830  1 P 1.55
O: 0.7848 0.9333 0.6830  1 P 1.55
O: 0.8795 0.7500 0.4316  1 P 1.54
O: 0.9658 0.2500 0.8540  1 B 1.40

Values from the calculation:
Volume (Å³/atom): 11.32
Uncorrected formation energy (eV/atom): -1.919
DOS at the Fermi energy (states/eV/f.u.): 0.13